# 1
The following is a DFT calculation (GGA-PBE) of an optimized crystal structure of Rb2GaOs2.

The value obtained for the energy above the lowest structure with this stoichiometry is 0.0 meV per atom. As for the total DFT energy (no corrections): -4.638 eV per atom. As for the energy of formation: 0.85 eV/atom.

It has space group P4/mbm (No. 127), with a = 6.440 Å, b = 6.440 Å, c = 6.031 Å, α = 90.00°, β = 90.00° and γ = 90.00°. The inequivalent atoms are Rb at (0.180, 0.320, 0.000), Ga at (0.000, 0.000, 0.500) and Os at (0.128, 0.628, 0.500).


# 2
The following is a DFT calculation (GGA-PBE) of an optimized crystal structure of RbGa3Os.

The value obtained for the energy above the lowest structure with this stoichiometry is 2545.9 meV per atom. As for the total DFT energy (no corrections): -1.923 eV per atom. As for the energy of formation: 2.33 eV/atom.

It has space group Pm-3m (No. 221), with a = 5.566 Å, b = 5.566 Å, c = 5.566 Å, α = 90.00°, β = 90.00° and γ = 90.00°. The inequivalent atoms are Rb at (0.000, 0.000, 0.000), Ga at (0.000, 0.000, 0.500) and Os at (0.500, 0.500, 0.500).


# 3
The following is a DFT calculation (GGA-PBE) of an optimized crystal structure of RbGa3Os.

The value obtained for the energy above the lowest structure with this stoichiometry is 554.7 meV per atom. As for the total DFT energy (no corrections): -3.914 eV per atom. As for the energy of formation: 0.34 eV/atom.

It has space group Amm2 (No. 38), with a = 3.199 Å, b = 6.340 Å, c = 17.350 Å, α = 90.00°, β = 90.00° and γ = 90.00°. The inequivalent atoms are Rb at (0.000, 0.000, 0.000), Ga at (0.000, 0.200, 0.181), Ga at (0.500, 0.000, 0.813) and Os at (0.500, 0.000, 0.677).


# 4
The following is a DFT calculation (GGA-PBE) of an optimized crystal structure of RbGa3Os.

The value obtained for the energy above the lowest structure with this stoichiometry is 126.0 meV per atom. As for the total DFT energy (no corrections): -4.343 eV per atom. As for the energy of formation: -0.09 eV/atom.

It has space group C2/m (No. 12), with a = 13.142 Å, b = 6.730 Å, c = 5.072 Å, α = 90.00°, β = 95.64° and γ = 90.00°. The inequivalent atoms are Rb at (0.145, 0.000, 0.493), Ga at (0.000, 0.206, 0.000), Ga at (0.092, 0.500, 0.414), Ga at (0.250, 0.250, 0.000) and Os at (0.115, 0.500, 0.922).


# 5
The following is a DFT calculation (GGA-PBE) of an optimized crystal structure of RbGa3Os.

The value obtained for the energy above the lowest structure with this stoichiometry is 247.4 meV per atom. As for the total DFT energy (no corrections): -4.221 eV per atom. As for the energy of formation: 0.03 eV/atom.

It has space group P2_1/c (No. 14), with a = 9.731 Å, b = 6.653 Å, c = 9.224 Å, α = 90.00°, β = 116.33° and γ = 90.00°. The inequivalent atoms are Rb at (0.085, 0.250, 0.045), Ga at (0.266, 0.600, 0.370), Ga at (0.348, 0.529, 0.927), Ga at (0.476, 0.119, 0.208) and Os at (0.452, 0.190, 0.924).


# 6
The following is a DFT calculation (GGA-PBE) of an optimized crystal structure of RbGa3Os.

The value obtained for the energy above the lowest structure with this stoichiometry is 424.4 meV per atom. As for the total DFT energy (no corrections): -4.044 eV per atom. As for the energy of formation: 0.21 eV/atom.

It has space group C2/c (No. 15), with a = 13.899 Å, b = 10.249 Å, c = 6.684 Å, α = 90.00°, β = 109.79° and γ = 90.00°. The inequivalent atoms are Rb at (0.000, 0.001, 0.250), Rb at (0.000, 0.308, 0.250), Ga at (0.149, 0.500, 0.124), Ga at (0.200, 0.144, 0.064), Ga at (0.203, 0.179, 0.633) and Os at (0.093, 0.332, 0.832).


# 7
The following is a DFT calculation (GGA-PBE) of an optimized crystal structure of RbGa3Os.

The value obtained for the energy above the lowest structure with this stoichiometry is 187.2 meV per atom. As for the total DFT energy (no corrections): -4.282 eV per atom. As for the energy of formation: -0.03 eV/atom.

It has space group P1 (No. 1), with a = 6.783 Å, b = 6.784 Å, c = 6.797 Å, α = 67.32°, β = 67.24° and γ = 60.19°. The inequivalent atoms are Rb at (0.000, 0.000, 0.000), Rb at (0.311, 0.313, 0.934), Ga at (0.038, 0.424, 0.486), Ga at (0.203, 0.789, 0.499), Ga at (0.423, 0.040, 0.485), Ga at (0.461, 0.461, 0.265), Ga at (0.719, 0.721, 0.979), Ga at (0.788, 0.204, 0.500), Os at (0.640, 0.641, 0.383) and Os at (0.808, 0.810, 0.584).


# 8
The following is a DFT calculation (GGA-PBE) of an optimized crystal structure of RbGa3Os.

The value obtained for the energy above the lowest structure with this stoichiometry is 448.0 meV per atom. As for the total DFT energy (no corrections): -4.021 eV per atom. As for the energy of formation: 0.23 eV/atom.

It has space group P4mm (No. 99), with a = 3.672 Å, b = 3.672 Å, c = 8.752 Å, α = 90.00°, β = 90.00° and γ = 90.00°. The inequivalent atoms are Rb at (0.000, 0.000, 0.000), Ga at (0.000, 0.000, 0.629), Ga at (0.000, 0.500, 0.355) and Os at (0.500, 0.500, 0.582).


# 9
The following is a DFT calculation (GGA-PBE) of an optimized crystal structure of RbGa3Os.

The value obtained for the energy above the lowest structure with this stoichiometry is 290.5 meV per atom. As for the total DFT energy (no corrections): -4.178 eV per atom. As for the energy of formation: 0.08 eV/atom.

It has space group Pnma (No. 62), with a = 5.995 Å, b = 17.026 Å, c = 4.921 Å, α = 90.00°, β = 90.00° and γ = 90.00°. The inequivalent atoms are Rb at (0.000, 0.000, 0.000), Ga at (0.006, 0.149, 0.449), Ga at (0.144, 0.750, 0.141) and Os at (0.210, 0.250, 0.143).


# 10
The following is a DFT calculation (GGA-PBE) of an optimized crystal structure of RbGa3Os.

The value obtained for the energy above the lowest structure with this stoichiometry is 305.0 meV per atom. As for the total DFT energy (no corrections): -4.164 eV per atom. As for the energy of formation: 0.09 eV/atom.

It has space group R-3m (No. 166, hexagonal axes), with a = 6.8751 Å, b = 6.8751 Å, c = 16.6479 Å, α = 90.00°, β = 90.00° and γ = 120.00°. The inequivalent atoms are Rb at (0.0000, 0.0000, 0.0934), Ga at (0.0513, 0.5256, 0.0884) and Os at (0.0000, 0.0000, 0.3040).


# 11
The following is a DFT calculation (GGA-PBE) of an optimized crystal structure of RbGa3Os.

The value obtained for the energy above the lowest structure with this stoichiometry is 871.4 meV per atom. As for the total DFT energy (no corrections): -3.597 eV per atom. As for the energy of formation: 0.66 eV/atom.

It has space group R3m (No. 160, hexagonal axes), with a = 6.2435 Å, b = 6.2435 Å, c = 11.8336 Å, α = 90.00°, β = 90.00° and γ = 120.00°. The inequivalent atoms are Rb at (0.0000, 0.0000, 0.0000), Ga at (0.0029, 0.5014, 0.0980) and Os at (0.0000, 0.0000, 0.2953).


# 12
The following is a DFT calculation (GGA-PBE) of an optimized crystal structure of RbGa3Os.

The value obtained for the energy above the lowest structure with this stoichiometry is 173.8 meV per atom. As for the total DFT energy (no corrections): -4.295 eV per atom. As for the energy of formation: -0.04 eV/atom.

It has space group Cm (No. 8), with a = 11.511 Å, b = 6.736 Å, c = 7.051 Å, α = 90.00°, β = 123.81° and γ = 90.00°. The inequivalent atoms are Rb at (0.000, 0.000, 0.000), Rb at (0.115, 0.000, 0.557), Ga at (0.114, 0.500, 0.530), Ga at (0.262, 0.282, 0.045), Ga at (0.363, 0.233, 0.522), Ga at (0.429, 0.000, 0.043), Os at (0.040, 0.500, 0.799) and Os at (0.203, 0.500, 0.281).


# 13
The following is a DFT calculation (GGA-PBE) of an optimized crystal structure of Rb2GaOs2.

The value obtained for the energy above the lowest structure with this stoichiometry is 1046.9 meV per atom. As for the total DFT energy (no corrections): -3.591 eV per atom. As for the energy of formation: 1.89 eV/atom.

It has space group I4/mmm (No. 139), with a = 4.743 Å, b = 4.743 Å, c = 14.515 Å, α = 90.00°, β = 90.00° and γ = 90.00°. The inequivalent atoms are Rb at (0.000, 0.500, 0.250), Ga at (0.000, 0.000, 0.000) and Os at (0.000, 0.000, 0.423).


# 14
The following is a DFT calculation (GGA-PBE) of an optimized crystal structure of RbGa3Os.

The value obtained for the energy above the lowest structure with this stoichiometry is 486.2 meV per atom. As for the total DFT energy (no corrections): -3.983 eV per atom. As for the energy of formation: 0.27 eV/atom.

It has space group I-4m2 (No. 119), with a = 6.179 Å, b = 6.179 Å, c = 14.928 Å, α = 90.00°, β = 90.00° and γ = 90.00°. The inequivalent atoms are Rb at (0.000, 0.000, 0.138), Ga at (0.000, 0.224, 0.362), Ga at (0.000, 0.500, 0.508), Os at (0.000, 0.000, 0.500) and Os at (0.000, 0.500, 0.250).


# 15
The following is a DFT calculation (GGA-PBE) of an optimized crystal structure of RbGa3Os.

The value obtained for the energy above the lowest structure with this stoichiometry is 0.0 meV per atom. As for the total DFT energy (no corrections): -4.469 eV per atom. As for the energy of formation: -0.21 eV/atom.

It has space group Pm-3m (No. 221), with a = 4.923 Å, b = 4.923 Å, c = 4.923 Å, α = 90.00°, β = 90.00° and γ = 90.00°. The inequivalent atoms are Rb at (0.000, 0.000, 0.000), Ga at (0.000, 0.500, 0.500) and Os at (0.500, 0.500, 0.500).


# 16
The following is a DFT calculation (GGA-PBE) of an optimized crystal structure of RbGa3Os.

The value obtained for the energy above the lowest structure with this stoichiometry is 223.9 meV per atom. As for the total DFT energy (no corrections): -4.245 eV per atom. As for the energy of formation: 0.01 eV/atom.

It has space group Cmcm (No. 63), with a = 4.258 Å, b = 18.499 Å, c = 6.296 Å, α = 90.00°, β = 90.00° and γ = 90.00°. The inequivalent atoms are Rb at (0.000, 0.068, 0.250), Ga at (0.000, 0.287, 0.010), Ga at (0.000, 0.401, 0.250) and Os at (0.000, 0.183, 0.750).


# 17
The following is a DFT calculation (GGA-PBE) of an optimized crystal structure of RbGaSb2Os.

Its uncorrected formation energy is 2.45 eV/atom. As for the total DFT energy (no corrections): -2.246 eV per atom.

It has space group P4/mmm (No. 123), with a = 5.942 Å, b = 5.942 Å, c = 5.558 Å, α = 90.00°, β = 90.00° and γ = 90.00°. The inequivalent atoms are Rb at (0.000, 0.000, 0.000), Ga at (0.000, 0.000, 0.500), Sb at (0.000, 0.500, 0.000) and Os at (0.500, 0.500, 0.500).


# 18
The following is a DFT calculation (GGA-PBE) of an optimized crystal structure of Rb2GaSbOs.

Its uncorrected formation energy is 1.27 eV/atom. As for the total DFT energy (no corrections): -2.794 eV per atom.

It has space group P4/mmm (No. 123), with a = 7.147 Å, b = 7.147 Å, c = 5.330 Å, α = 90.00°, β = 90.00° and γ = 90.00°. The inequivalent atoms are Rb at (0.000, 0.500, 0.000), Ga at (0.000, 0.000, 0.500), Sb at (0.000, 0.000, 0.000) and Os at (0.500, 0.500, 0.500).


# 19
The following is a DFT calculation (GGA-PBE) of an optimized crystal structure of RbTa2GaOs.

As for the total DFT energy (no corrections): -5.441 eV per atom. As for the energy of formation: 2.35 eV/atom.

It has space group P4/mmm (No. 123), with a = 4.844 Å, b = 4.844 Å, c = 5.286 Å, α = 90.00°, β = 90.00° and γ = 90.00°. The inequivalent atoms are Rb at (0.000, 0.000, 0.000), Ta at (0.000, 0.500, 0.500), Ga at (0.000, 0.000, 0.500) and Os at (0.500, 0.500, 0.000).


# 20
The following is a DFT calculation (GGA-PBE) of an optimized crystal structure of RbTlGa2Os.

The value obtained for the energy above the lowest structure with this stoichiometry is 0.0 meV per atom. As for the total DFT energy (no corrections): -4.178 eV per atom. As for the energy of formation: -0.05 eV/atom.

It has space group P4/mmm (No. 123), with a = 4.951 Å, b = 4.951 Å, c = 5.346 Å, α = 90.00°, β = 90.00° and γ = 90.00°. The inequivalent atoms are Rb at (0.000, 0.000, 0.000), Tl at (0.500, 0.500, 0.000), Ga at (0.000, 0.500, 0.500) and Os at (0.500, 0.500, 0.500).